NbAlHg3 (GGA-PBEsol, relaxed); symmetry = Pm-3m; total magnetic moment = 2.93 μB/f.u.; uncorrected energy = -11.8 eV per cell; energy of formation from the pure elements = 960 meV/atom; calculated volume = 23.980 Å³ per atom
1.0
4.931 0.000 0.000
0.000 4.931 0.000
0.000 0.000 4.931
Nb Al Hg
1 1 3
direct
0.000 0.000 0.000
0.500 0.500 0.500
0.000 0.500 0.500
0.500 0.000 0.500
0.500 0.500 0.000